Entry 1:
Material: NbCo2W
Method: DFT, PBE
State: optimized geometry

Cell: 4.306 4.306 4.306 Å, 60.00 60.00 60.00°
Each line ends with the local moment (μB).
Positions (direct):
Co (0.750, 0.750, 0.750)  1.38
W (0.500, 0.500, 0.500)  0.39
Co (0.250, 0.250, 0.250)  1.38
Nb (0.000, 0.000, 0.000)  0.21

Computed properties:
**Distance to the lowest polymorph of the same formula**: 51 kJ/mol of formula units

=====

Entry 2:
Material: NbCo2W
Method: DFT, PBE
State: optimized geometry

Cell: 6.655 6.655 5.403 Å, 51.99 51.99 90.00°
Positions (direct):
Co (0.112, 0.625, 0.250)
W (0.000, 0.000, 0.000)
Co (0.875, 0.888, 0.750)
Co (0.375, 0.362, 0.750)
W (0.750, 0.250, 0.500)
Nb (0.500, 0.500, 0.000)
Co (0.638, 0.125, 0.250)
Nb (0.250, 0.750, 0.500)

Computed properties:
**Distance to the lowest polymorph of the same formula**: 177 kJ/mol of formula units

=====

Entry 3:
Material: Nb2Co2W
Method: DFT, PBE
State: optimized geometry

Cell: 6.979 6.979 3.026 Å, 90.00 90.00 90.00°
Positions (direct):
Nb (0.325, 0.175, 0.500)
Co (0.625, 0.125, 0.000)
Co (0.375, 0.875, 0.000)
Nb (0.825, 0.325, 0.500)
Co (0.125, 0.375, 0.000)
Nb (0.175, 0.675, 0.500)
Nb (0.675, 0.825, 0.500)
Co (0.875, 0.625, 0.000)
W (0.000, 0.000, 0.000)
W (0.500, 0.500, 0.000)

Computed properties:
**Energy**: -94.302 eV for the cell shown

=====

Entry 4:
Material: NbCo2W2
Method: DFT, PBE
State: optimized geometry

Cell: 7.317 7.317 2.689 Å, 90.00 90.00 90.00°
Positions (direct):
W (0.170, 0.670, 0.500)
Nb (0.000, 0.000, 0.000)
Co (0.876, 0.624, 0.000)
Co (0.124, 0.376, 0.000)
Co (0.624, 0.124, 0.000)
Co (0.376, 0.876, 0.000)
W (0.670, 0.830, 0.500)
W (0.330, 0.170, 0.500)
W (0.830, 0.330, 0.500)
Nb (0.500, 0.500, 0.000)

Computed properties:
**Distance to the lowest polymorph of the same formula**: 0 kJ/mol of formula units

=====

Entry 5:
Material: Nb2Co6W
Method: DFT, PBE
State: optimized geometry

Cell: 5.345 5.044 5.044 Å, 120.00 90.00 90.00°
Each line ends with the local moment (μB).
Positions (direct):
Co (0.170, 0.179, 0.821)  0.25
Co (0.830, 0.821, 0.179)  0.25
Co (0.170, 0.642, 0.821)  0.25
Co (0.170, 0.179, 0.358)  0.25
Nb (0.351, 0.667, 0.333)  -0.07
W (0.500, 0.000, 0.000)  -0.04
Co (0.830, 0.358, 0.179)  0.25
Co (0.830, 0.821, 0.642)  0.25
Nb (0.649, 0.333, 0.667)  -0.07

Computed properties:
**Energy**: -75.571 eV for the cell shown

=====

Entry 6:
Material: Y2NbCoW
Method: DFT, PBE
State: optimized geometry

Cell: 4.983 4.607 4.983 Å, 90.00 90.00 90.00°
Positions (direct):
W (0.000, 0.500, 0.000)
Y (0.000, 0.000, 0.500)
Co (0.000, 0.000, 0.000)
Y (0.500, 0.000, 0.000)
Nb (0.500, 0.500, 0.500)

Computed properties:
**Energy**: -38.902 eV for the cell shown

=====

Entry 7:
Material: Y3NbCo8
Method: DFT, PBE
State: optimized geometry

Cell: 4.992 4.992 8.654 Å, 73.26 73.26 60.02°
Each line ends with the local moment (μB).
Positions (direct):
Co (0.938, 0.446, 0.678)  1.03
Co (0.437, 0.928, 0.198)  0.80
Y (0.999, 0.999, 0.004)  -0.18
Co (0.928, 0.437, 0.198)  0.80
Co (0.938, 0.938, 0.678)  1.03
Co (0.188, 0.188, 0.436)  1.00
Y (0.374, 0.374, 0.877)  -0.22
Co (0.446, 0.938, 0.678)  1.03
Co (0.687, 0.687, 0.938)  0.94
Y (0.501, 0.501, 0.498)  -0.19
Co (0.437, 0.437, 0.198)  0.80
Nb (0.876, 0.876, 0.372)  -0.49

Computed properties:
**Energy**: -87.804 eV for the cell shown

=====

Entry 8:
Material: Y3NbCo
Method: DFT, PBE
State: optimized geometry

Cell: 5.157 5.157 5.157 Å, 90.00 90.00 90.00°
Each line ends with the local moment (μB).
Positions (direct):
Y (0.500, 0.000, 0.000)  0.05
Nb (0.500, 0.500, 0.500)  2.32
Y (0.000, 0.500, 0.000)  0.02
Co (0.000, 0.000, 0.000)  0.22
Y (0.000, 0.000, 0.500)  0.03

Computed properties:
**Energy**: -34.495 eV for the cell shown